Entry from the Alexandria database: Ho2PaSeO8 after structural relaxation (PBE).

Output
total energy = -7.76 eV/atom
magnetization = 0.00 μB per formula unit
ΔE_f (raw) = -2.613 eV per atom

Unit cell a=6.927 b=7.151 c=6.806 alpha=90.00 beta=90.00 gamma=90.00
Space group Cmmm (No. 65)
Unique sites:
Ho (0.000, 0.000, 0.239) (multiplicity 4)
Pa (0.000, 0.500, 0.500) (multiplicity 2)
Se (0.000, 0.500, 0.000) (multiplicity 2)
O (0.000, 0.319, 0.227) (multiplicity 8)
O (0.197, 0.000, 0.500) (multiplicity 4)
O (0.224, 0.000, 0.000) (multiplicity 4)

Entry from the Alexandria database: HoPaSe2O after structural relaxation (PBE).

Output
total energy = -7.41 eV/atom
magnetization = 1.25 μB per formula unit
ΔE_f (raw) = -2.213 eV per atom

Unit cell a=3.936 b=3.936 c=13.886 alpha=90.00 beta=90.00 gamma=90.00
Space group P4/nmm (No. 129, origin choice 2)
Unique sites:
Ho (0.250, 0.250, 0.096) (multiplicity 2)
Pa (0.250, 0.250, 0.594) (multiplicity 2)
Se (0.250, 0.250, 0.308) (multiplicity 2)
Se (0.250, 0.250, 0.886) (multiplicity 2)
O (0.250, 0.750, 0.500) (multiplicity 2)

Entry from the Alexandria database: HoPaSi2O8 after structural relaxation (PBE).

Output
total energy = -8.64 eV/atom
magnetization = 0.00 μB per formula unit
ΔE_f (raw) = -3.257 eV per atom

Unit cell a=6.958 b=6.958 c=6.199 alpha=90.00 beta=90.00 gamma=90.00
Space group I-4m2 (No. 119)
Unique sites:
Ho (0.000, 0.000, 0.000) (multiplicity 2)
Pa (0.000, 0.500, 0.250) (multiplicity 2)
Si (0.000, 0.000, 0.500) (multiplicity 2)
Si (0.000, 0.500, 0.750) (multiplicity 2)
O (0.000, 0.183, 0.331) (multiplicity 8)
O (0.000, 0.322, 0.925) (multiplicity 8)

Entry from the Alexandria database: Ho2PaSiO8 after structural relaxation (PBE).

Output
total energy = -8.35 eV/atom
magnetization = 1.02 μB per formula unit
ΔE_f (raw) = -3.040 eV per atom

Unit cell a=6.886 b=7.018 c=6.584 alpha=90.00 beta=90.00 gamma=90.00
Space group Cmmm (No. 65)
Unique sites:
Ho (0.000, 0.000, 0.233) (multiplicity 4)
Pa (0.000, 0.500, 0.500) (multiplicity 2)
Si (0.000, 0.500, 0.000) (multiplicity 2)
O (0.000, 0.323, 0.211) (multiplicity 8)
O (0.196, 0.000, 0.500) (multiplicity 4)
O (0.242, 0.000, 0.000) (multiplicity 4)

Entry from the Alexandria database: SmHoPaO6 after structural relaxation (PBE).

Output
total energy = -8.58 eV/atom
magnetization = 0.64 μB per formula unit
ΔE_f (raw) = -3.183 eV per atom

Unit cell a=5.8471 b=5.8471 c=4.6809 alpha=90.00 beta=90.00 gamma=120.00
Space group P312 (No. 149)
Unique sites:
Sm (0.0000, 0.0000, 0.0000) (multiplicity 1)
Ho (0.3333, 0.6667, 0.0000) (multiplicity 1)
Pa (0.6667, 0.3333, 0.5000) (multiplicity 1)
O (0.3549, 0.0124, 0.2462) (multiplicity 6)

Entry from the Alexandria database: Ho2PaSnO8 after structural relaxation (PBE).

Output
total energy = -8.06 eV/atom
magnetization = 0.68 μB per formula unit
ΔE_f (raw) = -2.863 eV per atom

Unit cell a=7.048 b=7.271 c=6.894 alpha=90.00 beta=90.00 gamma=90.00
Space group Cmmm (No. 65)
Unique sites:
Ho (0.000, 0.000, 0.242) (multiplicity 4)
Pa (0.000, 0.500, 0.500) (multiplicity 2)
Sn (0.000, 0.500, 0.000) (multiplicity 2)
O (0.000, 0.313, 0.242) (multiplicity 8)
O (0.200, 0.000, 0.500) (multiplicity 4)
O (0.210, 0.000, 0.000) (multiplicity 4)